DFT (GGA-PBE) results for TlHg2Pd5 after structural relaxation.

Structure (extended XYZ):
```
8
Lattice="-4.0314 -0.0536 1.4819 1.0123 -3.2363 2.6367 3.4275 6.6433 3.3392" Properties=species:S:1:pos:R:3 pbc="T T T"
Tl 0.0000 0.0000 0.0000
Hg -0.5602 0.8290 4.7314
Hg 0.9686 2.5243 2.7265
Pd -1.5095 -1.6450 2.0593
Pd -0.5720 3.7356 4.8046
Pd 1.9498 2.1442 5.3820
Pd 0.9804 -0.3822 2.6532
Pd -1.5414 1.2091 2.0758
```

Summary:
The space group is No. 139. The energy of formation comes out at -0.18 eV/atom. As for the total magnetization: 0.0 Bohr magnetons per cell. The value obtained for the uncorrected energy is -30.40 eV/cell.

***

DFT (GGA-PBE) results for TlHg3Pd6 after structural relaxation.

Structure (extended XYZ):
```
20
Lattice="4.7708 0.0000 0.0000 0.0000 7.3653 -2.7330 0.0000 -0.1778 10.1683" Properties=species:S:1:pos:R:3 pbc="T T T"
Tl 1.1927 6.7783 3.7943
Tl 3.5781 0.4092 3.6411
Hg 1.1927 3.7916 2.6792
Hg 3.5781 3.3959 4.7561
Hg 1.1927 2.4278 7.3351
Hg 3.5781 4.7596 0.1003
Hg 1.1927 5.5744 -1.8594
Hg 3.5781 1.6131 9.2948
Pd 1.1927 3.2006 -0.0709
Pd 3.5781 3.9869 7.5062
Pd 1.1927 0.9958 1.7910
Pd 3.5781 6.1917 5.6444
Pd 1.1927 4.6248 5.5679
Pd 3.5781 2.5627 1.8674
Pd 1.1927 1.6584 4.6185
Pd 3.5781 5.5291 2.8169
Pd 1.1927 6.1469 1.0036
Pd 3.5781 1.0405 6.4317
Pd 1.1927 0.1483 9.2168
Pd 3.5781 7.0392 -1.7814
```

Summary:
The space group is No. 11. The value obtained for the offset from the most stable computed form is 0.000 eV/atom. The energy of formation comes out at -0.16 eV/atom. As for the total magnetization: 0.0 Bohr magnetons per cell. The value obtained for the uncorrected energy is -72.02 eV/cell.

***

DFT (GGA-PBE) results for TlHgPd14 after structural relaxation.

Structure (extended XYZ):
```
16
Lattice="5.7022 -0.0115 0.0000 0.0127 5.7022 0.0000 0.0000 0.0000 7.9345" Properties=species:S:1:pos:R:3 pbc="T T T"
Tl 5.0005 4.9793 3.9672
Hg 2.1431 2.1340 3.9672
Pd 5.0005 4.9793 0.0000
Pd 2.1430 2.1340 0.0000
Pd 4.9941 2.1282 3.9672
Pd 4.9942 2.1282 0.0000
Pd 2.1495 4.9850 3.9672
Pd 2.1494 4.9851 0.0000
Pd 3.5646 0.7064 1.9327
Pd 3.5646 0.7064 6.0017
Pd 0.7216 3.5616 1.9327
Pd 0.7216 3.5616 6.0017
Pd 3.5709 3.5558 1.9326
Pd 3.5709 3.5558 6.0019
Pd 0.7152 0.7122 1.9327
Pd 0.7152 0.7122 6.0018
```

Summary:
The space group is No. 123. The energy of formation comes out at -0.06 eV/atom. As for the total magnetization: 0.0 Bohr magnetons per cell. The value obtained for the uncorrected energy is -76.37 eV/cell.

***

Among the records above, which one has the lowest uncorrected energy?
TlHgPd14

***

Which value of energy of formation does entry 1 give?
-0.18 eV/atom